[1]
DFT (PBE) results for crystalline FeCo3Ni at its relaxed geometry.

Lattice parameters (Å, degrees): 8.7277 8.7277 8.7277 28.09 28.09 28.09
Positions (direct):
Fe 0.1207 0.1207 0.1207
Fe 0.8793 0.8793 0.8793
Co 0.0413 0.3744 0.7043
Co 0.2957 0.9587 0.6256
Co 0.3744 0.7043 0.0413
Co 0.6256 0.2957 0.9587
Co 0.7043 0.0413 0.3744
Co 0.9587 0.6256 0.2957
Ni 0.2129 0.2129 0.2129
Ni 0.7871 0.7871 0.7871

Computed properties:
**Formation energy from the elements**: 363 meV/atom
**Distance to the lowest polymorph of the same formula**: 0.000 eV/atom
**Calculated total energy**: -33.7 eV/f.u.
**SG**: R-3

[2]
DFT (PBE) results for crystalline FeCoNi at its relaxed geometry.

Lattice parameters (Å, degrees): 2.5064 2.5064 6.1925 90.00 90.00 120.00
Positions (direct):
Fe 0.0000 0.0000 0.0000
Co 0.6667 0.3333 0.6624
Ni 0.3333 0.6667 0.3326

Computed properties:
**Formation energy from the elements**: 27 meV/atom
**Distance to the lowest polymorph of the same formula**: 0.025 eV/atom
**Calculated total energy**: -21.3 eV/f.u.
**SG**: P3m1

[3]
DFT (PBE) results for crystalline Fe2Co3Ni at its relaxed geometry.

Lattice parameters (Å, degrees): 2.4895 4.3525 6.3415 95.10 100.55 90.63
Positions (direct):
Fe 0.1482 0.3729 0.3277
Fe 0.8518 0.6271 0.6723
Co 0.3468 0.1257 0.6673
Co 0.5000 0.5000 0.0000
Co 0.6532 0.8743 0.3327
Ni 0.0000 0.0000 0.0000

Computed properties:
**Formation energy from the elements**: 31 meV/atom
**Distance to the lowest polymorph of the same formula**: 0.027 eV/atom
**Calculated total energy**: -43.8 eV/f.u.
**SG**: P-1

[4]
DFT (PBE) results for crystalline Fe2Co2Ni5 at its relaxed geometry.

Lattice parameters (Å, degrees): 5.6125 5.6125 5.6371 107.28 107.28 36.21
Positions (direct):
Fe 0.0559 0.0559 0.3311
Fe 0.9441 0.9441 0.6689
Co 0.3884 0.3884 0.3321
Co 0.6116 0.6116 0.6679
Ni 0.1673 0.1673 0.0009
Ni 0.2774 0.2774 0.6648
Ni 0.5000 0.5000 0.0000
Ni 0.7226 0.7226 0.3352
Ni 0.8327 0.8327 0.9991

Computed properties:
**Formation energy from the elements**: -32 meV/atom
**Calculated total energy**: -60.3 eV/f.u.
**SG**: C2/m

[5]
DFT (PBE) results for crystalline FeCo3Ni8 at its relaxed geometry.

Lattice parameters (Å, degrees): 4.3164 4.3164 8.1465 90.00 90.00 120.00
Positions (direct):
Fe 0.0000 0.0000 0.0000
Co 0.0000 0.0000 0.5000
Co 0.3333 0.6667 0.5000
Co 0.6667 0.3333 0.5000
Ni 0.0000 0.3358 0.2510
Ni 0.0000 0.6642 0.7490
Ni 0.3333 0.6667 0.0000
Ni 0.3358 0.0000 0.2510
Ni 0.3358 0.3358 0.7490
Ni 0.6642 0.0000 0.7490
Ni 0.6642 0.6642 0.2510
Ni 0.6667 0.3333 0.0000

Computed properties:
**Formation energy from the elements**: -17 meV/atom
**Calculated total energy**: -76.2 eV/f.u.
**SG**: P-31m

[6]
DFT (PBE) results for crystalline Fe3CoNi6 at its relaxed geometry.

Lattice parameters (Å, degrees): 6.6567 4.0703 8.6864 90.00 108.74 90.00
Positions (direct):
Fe 0.0947 0.2500 0.2348
Fe 0.2994 0.2500 0.0310
Fe 0.3036 0.7500 0.3697
Fe 0.6964 0.2500 0.6303
Fe 0.7006 0.7500 0.9690
Fe 0.9053 0.7500 0.7652
Co 0.0974 0.7500 0.5644
Co 0.9026 0.2500 0.4356
Ni 0.1013 0.7500 0.0675
Ni 0.1023 0.2500 0.7321
Ni 0.2990 0.2500 0.5356
Ni 0.3005 0.7500 0.8633
Ni 0.4989 0.7500 0.1666
Ni 0.4995 0.2500 0.3312
Ni 0.5005 0.7500 0.6688
Ni 0.5011 0.2500 0.8334
Ni 0.6995 0.2500 0.1367
Ni 0.7010 0.7500 0.4644
Ni 0.8977 0.7500 0.2679
Ni 0.8987 0.2500 0.9325

Computed properties:
**Formation energy from the elements**: -51 meV/atom
**Distance to the lowest polymorph of the same formula**: 0.000 eV/atom
**Calculated total energy**: -67.7 eV/f.u.
**SG**: P2_1/m

[7]
DFT (PBE) results for crystalline Fe2CoNi6 at its relaxed geometry.

Lattice parameters (Å, degrees): 4.4101 4.4101 7.3368 117.78 117.78 56.34
Positions (direct):
Fe 0.1653 0.1653 0.3308
Fe 0.8347 0.8347 0.6692
Co 0.5000 0.5000 0.0000
Ni 0.1674 0.1674 0.0006
Ni 0.1690 0.1690 0.6656
Ni 0.4958 0.4958 0.6651
Ni 0.5042 0.5042 0.3349
Ni 0.8310 0.8310 0.3344
Ni 0.8326 0.8326 0.9994

Computed properties:
**Formation energy from the elements**: 30 meV/atom
**Distance to the lowest polymorph of the same formula**: 0.078 eV/atom
**Calculated total energy**: -58.4 eV/f.u.
**SG**: C2/m

[8]
DFT (PBE) results for crystalline Fe2Co5Ni at its relaxed geometry.

Lattice parameters (Å, degrees): 5.0191 5.0191 5.0191 120.15 120.15 89.74
Positions (direct):
Fe 0.0000 0.5000 0.5000
Fe 0.5000 0.0000 0.5000
Co 0.0000 0.0000 0.0000
Co 0.0000 0.0000 0.5000
Co 0.0000 0.5000 0.0000
Co 0.5000 0.0000 0.0000
Co 0.5000 0.5000 0.5000
Ni 0.5000 0.5000 0.0000

Computed properties:
**Formation energy from the elements**: -11 meV/atom
**Calculated total energy**: -58.3 eV/f.u.
**SG**: I4/mmm

[9]
DFT (PBE) results for crystalline FeCo6Ni5 at its relaxed geometry.

Lattice parameters (Å, degrees): 6.5829 6.5829 3.5066 105.35 105.35 105.60
Positions (direct):
Fe 0.0000 0.0000 0.0000
Co 0.0835 0.4171 0.2503
Co 0.2509 0.2509 0.7513
Co 0.4171 0.0835 0.2503
Co 0.5829 0.9165 0.7497
Co 0.7491 0.7491 0.2487
Co 0.9165 0.5829 0.7497
Ni 0.1683 0.8317 0.5000
Ni 0.3336 0.6664 0.0000
Ni 0.5000 0.5000 0.5000
Ni 0.6664 0.3336 0.0000
Ni 0.8317 0.1683 0.5000

Computed properties:
**Formation energy from the elements**: 0 meV/atom
**Calculated total energy**: -80.0 eV/f.u.
**SG**: C2/m

[10]
DFT (PBE) results for crystalline FeCoNi5 at its relaxed geometry.

Lattice parameters (Å, degrees): 3.5568 3.5568 6.5960 90.00 90.00 90.00
Positions (direct):
Fe 0.0000 0.0000 0.0000
Co 0.5000 0.5000 0.5000
Ni 0.0000 0.5000 0.2661
Ni 0.0000 0.5000 0.7339
Ni 0.5000 0.0000 0.2661
Ni 0.5000 0.0000 0.7339
Ni 0.5000 0.5000 0.0000

Computed properties:
**Formation energy from the elements**: 173 meV/atom
**Distance to the lowest polymorph of the same formula**: 0.000 eV/atom
**Calculated total energy**: -43.3 eV/f.u.
**SG**: P4/mmm

[11]
DFT (PBE) results for crystalline FeCo2Ni at its relaxed geometry.

Lattice parameters (Å, degrees): 2.9135 2.9135 5.2904 90.00 90.00 90.00
Positions (direct):
Fe 0.0000 0.0000 0.0000
Co 0.5000 0.5000 0.2502
Co 0.5000 0.5000 0.7498
Ni 0.0000 0.0000 0.5000

Computed properties:
**Formation energy from the elements**: 50 meV/atom
**Distance to the lowest polymorph of the same formula**: 0.075 eV/atom
**Calculated total energy**: -28.3 eV/f.u.
**SG**: P4/mmm

[12]
DFT (PBE) results for crystalline Fe6CoNi10 at its relaxed geometry.

Lattice parameters (Å, degrees): 6.8509 6.8509 4.8966 90.10 90.10 120.14
Positions (direct):
Fe 0.1542 0.1542 0.1775
Fe 0.1542 0.4999 0.8219
Fe 0.4999 0.1542 0.8219
Fe 0.5001 0.8458 0.1781
Fe 0.8458 0.5001 0.1781
Fe 0.8458 0.8458 0.8225
Co 0.5000 0.5000 0.0000
Ni 0.1668 0.8332 0.0000
Ni 0.1669 0.8331 0.5000
Ni 0.1945 0.1945 0.6655
Ni 0.1947 0.4998 0.3340
Ni 0.4998 0.1947 0.3340
Ni 0.5002 0.8053 0.6660
Ni 0.8053 0.5002 0.6660
Ni 0.8055 0.8055 0.3345
Ni 0.8332 0.1668 0.0000
Ni 0.8331 0.1669 0.5000

Computed properties:
**Formation energy from the elements**: 76 meV/atom
**Calculated total energy**: -114.4 eV/f.u.
**SG**: C2/m

[13]
DFT (PBE) results for crystalline Fe4CoNi at its relaxed geometry.

Lattice parameters (Å, degrees): 4.6280 4.6280 4.6280 60.00 60.00 60.00
Positions (direct):
Fe 0.1252 0.1252 0.1252
Fe 0.1252 0.1252 0.6243
Fe 0.1252 0.6243 0.1252
Fe 0.6243 0.1252 0.1252
Co 0.5000 0.5000 0.5000
Ni 0.7500 0.7500 0.7500

Computed properties:
**Formation energy from the elements**: 188 meV/atom
**Distance to the lowest polymorph of the same formula**: 0.186 eV/atom
**Calculated total energy**: -45.6 eV/f.u.
**SG**: F-43m

[14]
DFT (PBE) results for crystalline FeCo2Ni at its relaxed geometry.

Lattice parameters (Å, degrees): 4.3268 4.3268 4.3688 99.40 99.40 33.59
Positions (direct):
Fe 0.0000 0.0000 0.0000
Co 0.2481 0.2481 0.7459
Co 0.7519 0.7519 0.2541
Ni 0.5000 0.5000 0.5000

Computed properties:
**Formation energy from the elements**: 1 meV/atom
**Distance to the lowest polymorph of the same formula**: 0.026 eV/atom
**Calculated total energy**: -28.5 eV/f.u.
**SG**: C2/m

[15]
DFT (PBE) results for crystalline Fe2CoNi3 at its relaxed geometry.

Lattice parameters (Å, degrees): 5.5826 5.5826 3.5986 90.00 90.00 143.18
Positions (direct):
Fe 0.1634 0.8366 0.0000
Fe 0.8366 0.1634 0.0000
Co 0.5000 0.5000 0.0000
Ni 0.0000 0.0000 0.5000
Ni 0.3343 0.6657 0.5000
Ni 0.6657 0.3343 0.5000

Computed properties:
**Formation energy from the elements**: -61 meV/atom
**Distance to the lowest polymorph of the same formula**: 0.000 eV/atom
**Calculated total energy**: -41.7 eV/f.u.
**SG**: Cmmm

[16]
DFT (PBE) results for crystalline Fe6Co3Ni at its relaxed geometry.

Lattice parameters (Å, degrees): 6.9617 4.0311 8.5624 90.00 105.84 90.00
Positions (direct):
Fe 0.0503 0.2500 0.3999
Fe 0.1479 0.7500 0.2012
Fe 0.2472 0.2500 0.9996
Fe 0.3479 0.7500 0.7981
Fe 0.3498 0.2500 0.2979
Fe 0.4498 0.2500 0.5976
Fe 0.5502 0.7500 0.4024
Fe 0.6502 0.7500 0.7021
Fe 0.6521 0.2500 0.2019
Fe 0.7528 0.7500 0.0004
Fe 0.8521 0.2500 0.7988
Fe 0.9497 0.7500 0.6001
Co 0.0522 0.7500 0.9015
Co 0.1520 0.2500 0.7005
Co 0.2489 0.7500 0.4999
Co 0.7511 0.2500 0.5001
Co 0.8480 0.7500 0.2995
Co 0.9478 0.2500 0.0985
Ni 0.4507 0.7500 0.1001
Ni 0.5493 0.2500 0.8999

Computed properties:
**Formation energy from the elements**: -27 meV/atom
**Calculated total energy**: -78.1 eV/f.u.
**SG**: P2_1/m

[17]
DFT (PBE) results for crystalline Fe4Co4Ni5 at its relaxed geometry.

Lattice parameters (Å, degrees): 6.6466 6.6466 6.6466 94.08 94.08 149.05
Positions (direct):
Fe 0.1487 0.7696 0.9182
Fe 0.2304 0.1487 0.3791
Fe 0.7696 0.8513 0.6209
Fe 0.8513 0.2304 0.0818
Co 0.0780 0.3883 0.4662
Co 0.3883 0.9220 0.3103
Co 0.6117 0.0780 0.6897
Co 0.9220 0.6117 0.5338
Ni 0.0000 0.0000 0.0000
Ni 0.3094 0.5393 0.8487
Ni 0.4607 0.3094 0.7701
Ni 0.5393 0.6906 0.2299
Ni 0.6906 0.4607 0.1513

Computed properties:
**Formation energy from the elements**: -33 meV/atom
**Calculated total energy**: -91.6 eV/f.u.
**SG**: I4/m

[18]
DFT (PBE) results for crystalline Fe2Co4Ni at its relaxed geometry.

Lattice parameters (Å, degrees): 4.4969 4.4969 4.4639 95.76 95.76 112.41
Positions (direct):
Fe 0.2464 0.2464 0.0675
Fe 0.7536 0.7536 0.9325
Co 0.1665 0.6041 0.7343
Co 0.3959 0.8335 0.2657
Co 0.6041 0.1665 0.7343
Co 0.8335 0.3959 0.2657
Ni 0.0000 0.0000 0.5000

Computed properties:
**Formation energy from the elements**: 169 meV/atom
**Calculated total energy**: -49.9 eV/f.u.
**SG**: C2/m

[19]
DFT (PBE) results for crystalline FeCo2Ni at its relaxed geometry.

Lattice parameters (Å, degrees): 2.5191 3.4982 5.0576 90.00 90.08 90.00
Positions (direct):
Fe 0.0000 0.0000 0.0000
Co 0.4993 0.5000 0.2532
Co 0.5007 0.5000 0.7468
Ni 0.0000 0.0000 0.5000

Computed properties:
**Formation energy from the elements**: 19 meV/atom
**Distance to the lowest polymorph of the same formula**: 0.044 eV/atom
**Calculated total energy**: -28.4 eV/f.u.
**SG**: P2/m

[20]
DFT (PBE) results for crystalline FeCoNi at its relaxed geometry.

Lattice parameters (Å, degrees): 3.8301 3.8301 3.8301 60.00 60.00 60.00
Positions (direct):
Fe 0.0000 0.0000 0.0000
Co 0.7500 0.7500 0.7500
Ni 0.2500 0.2500 0.2500

Computed properties:
**Formation energy from the elements**: 490 meV/atom
**Distance to the lowest polymorph of the same formula**: 0.488 eV/atom
**Calculated total energy**: -19.9 eV/f.u.
**SG**: F-43m